# 1
An optimized crystal structure of DyGaPdPb. Source: Alexandria, functional PBE-GGA.

POSCAR file:
```
DyGaPdPb
1.0
4.966 0.000 0.000
2.483 4.301 0.000
2.483 1.434 4.055
Pb Ga Pd Dy
1 1 1 1
Cartesian
2.483 1.434 1.014 Pb
0.000 0.000 0.000 Ga
4.966 2.867 2.027 Pd
7.449 4.301 3.041 Dy
```

Output
**Calculated total energy**: -0.1699 hartree per atom
**Fermi-level density of states**: 0.74 states/eV/f.u.
**Formation energy**: -1.958 eV per formula unit
**Spin magnetization**: 0.0 μB per cell
**Space-group type**: No. 216

***

# 2
An optimized crystal structure of AgTeH. Source: Alexandria, functional PBE-GGA.

POSCAR file:
```
AgTeH
1.0
6.721 0.040 -0.041
3.348 3.412 1.039
3.398 1.600 7.419
H Te Ag
2 2 2
Cartesian
8.778 2.010 5.428 H
5.425 3.311 7.883 H
10.908 4.380 7.163 Te
4.669 1.856 2.950 Te
3.235 0.300 1.257 Ag
9.958 3.435 4.622 Ag
```

Output
**Calculated total energy**: -0.1100 hartree per atom
**Fermi-level density of states**: 0.00 states/eV/f.u.
**Spin magnetization**: 0.0 μB per cell
**Energy relative to the lowest polymorph listed for this composition**: 128 meV per atom
**Space-group type**: No. 5

***

# 3
An optimized crystal structure of EuHoCdRu. Source: Alexandria, functional PBE-GGA.

POSCAR file:
```
EuHoCdRu
1.0
5.092 0.000 0.000
2.546 4.409 0.000
2.546 1.470 4.157
Cd Ho Ru Eu
1 1 1 1
Cartesian
7.637 4.409 3.118 Cd
0.000 0.000 0.000 Ho
2.546 1.470 1.039 Ru
5.092 2.940 2.079 Eu
```

Output
**Calculated total energy**: -0.2342 hartree per atom
**Fermi-level density of states**: 4.11 states/eV/f.u.
**Formation energy**: -0.454 eV per formula unit
**Spin magnetization**: 6.9 μB per cell
**Space-group type**: No. 216

***

# 4
An optimized crystal structure of Er3Tm8Sc. Source: Alexandria, functional PBE-GGA.

POSCAR file:
```
Er3Tm8Sc
1.0
6.544 0.000 -3.702
-2.094 6.200 -3.702
0.832 1.160 9.107
Tm Er Sc
8 3 1
Cartesian
0.115 4.787 4.078 Tm
0.784 5.719 -2.375 Tm
4.105 5.719 -4.254 Tm
5.168 2.572 -2.375 Tm
3.436 4.787 2.199 Tm
1.846 2.572 -0.496 Tm
1.177 1.641 5.957 Tm
4.499 1.641 4.078 Tm
2.225 3.100 -3.702 Er
4.801 2.130 0.851 Er
0.482 5.230 0.851 Er
0.000 0.000 0.000 Sc
```

Output
**Calculated total energy**: -0.1445 hartree per atom
**Fermi-level density of states**: 10.85 states/eV/f.u.
**Formation energy**: 8.612 eV per formula unit
**Spin magnetization**: 0.0 μB per cell
**Space-group type**: No. 139